Here is crystalline Tl2CdAs2O6 at its relaxed geometry from Alexandria. Energies are from PBE.

Properties
**E**: -56.20 eV/cell
**Total magnetization**: 0.00 μB per formula unit

a b c (Å): 6.071 6.071 7.033
angles (deg): 116.54 116.54 59.52
Element x y z (fractional)
Tl: 0.209 0.209 0.185
Tl: 0.791 0.791 0.815
Cd: 0.000 0.000 0.500
As: 0.455 0.455 0.795
As: 0.545 0.545 0.205
O: 0.230 0.699 0.240
O: 0.266 0.266 0.641
O: 0.301 0.770 0.760
O: 0.699 0.230 0.240
O: 0.734 0.734 0.359
O: 0.770 0.301 0.760

Here is crystalline LiGd2Pb at its relaxed geometry from Alexandria. Energies are from PBE.

Properties
**DFT formation energy**: -0.93 eV/f.u.
**Energy relative to the lowest polymorph listed for this composition**: 104.8 meV per atom
**Total magnetization**: 15.15 μB per formula unit

a b c (Å): 3.893 3.893 7.227
angles (deg): 90.00 90.00 90.00
Element x y z (fractional)
Li: 0.000 0.000 0.000
Gd: 0.500 0.500 0.244
Gd: 0.500 0.500 0.756
Pb: 0.000 0.000 0.500

Which value of total magnetization does entry 2 give? 15.15 μB per formula unit

Which of these has the highest total magnetization? LiGd2Pb

Among the records above, which one has the highest total magnetization? LiGd2Pb